Here is an optimized crystal structure of TlCoCuO2 from Alexandria via LeMat-Bulk. Energies are from PBE with a Hubbard U.

Lattice parameters (Å, degrees): 4.7237 5.8875 6.5569 116.68 90.00 90.00
With the nearest neighbours (Å) after each atom.
Atoms (fractional coordinates):
Tl (0.2519, 0.7500, 0.5000)  2 O 2.74
Tl (0.7481, 0.2500, 0.5000)  2 O 2.74
Co (0.5000, 0.7500, 0.0000)  4 O 2.02
Co (0.5000, 0.2500, 0.0000)  4 O 2.02
Cu (0.0000, 0.0000, 0.0000)  2 O 1.86
Cu (0.0000, 0.5000, 0.0000)  2 O 1.86
O (0.6810, 0.9075, 0.8149)  1 Cu 1.86, 2 Co 2.02
O (0.6810, 0.5925, 0.1851)  1 Cu 1.86, 2 Co 2.02
O (0.3190, 0.4075, 0.8149)  1 Cu 1.86, 2 Co 2.02
O (0.3190, 0.0925, 0.1851)  1 Cu 1.86, 2 Co 2.02

Values from the calculation:
Raw total energy   -4.899 eV/atom